# Sc3CdO

A relaxed structure of Sc3CdO (PBE-GGA, Alexandria via LeMat-Bulk).

Calculated values
For the raw total energy, the calculation gives -6.2536 eV/atom. Its space group is C2/c, No. 15.

Cell: 6.107 6.110 6.033 Å, 101.86 84.10 120.02°
Sites, in units of the cell vectors:
1 Sc 0.058 0.965 0.292
2 Sc 0.603 0.990 0.027
3 Sc 0.587 0.482 0.527
4 Sc 0.132 0.507 0.262
5 Sc 0.058 0.469 0.762
6 Sc 0.132 0.003 0.792
7 Cd 0.609 0.993 0.527
8 Cd 0.581 0.479 0.027
9 O 0.982 0.680 0.527
10 O 0.207 0.792 0.027



# Sc3CdO

A relaxed structure of Sc3CdO (PBE-GGA, Alexandria via LeMat-Bulk).

Calculated values
For the raw total energy, the calculation gives -6.1907 eV/atom. Its space group is P2_1/c, No. 14.

Cell: 18.753 6.113 7.848 Å, 90.00 154.79 90.00°
Sites, in units of the cell vectors:
1 Sc 0.750 0.751 0.249
2 Sc 0.500 0.757 0.000
3 Sc 0.000 0.743 0.500
4 Sc 0.641 0.500 0.641
5 Sc 0.250 0.749 0.749
6 Sc 0.250 0.249 0.751
7 Sc 0.359 0.500 0.359
8 Sc 0.859 0.000 0.859
9 Sc 0.141 0.000 0.141
10 Sc 0.000 0.257 0.500
11 Sc 0.750 0.251 0.251
12 Sc 0.500 0.243 0.000
13 O 0.175 0.499 0.774
14 O 0.675 0.001 0.274
15 O 0.825 0.501 0.226
16 O 0.325 0.999 0.726
17 Cd 0.368 0.999 0.342
18 Cd 0.632 0.001 0.658
19 Cd 0.868 0.501 0.842
20 Cd 0.132 0.499 0.158



# Sc3CdO

A relaxed structure of Sc3CdO (PBE-GGA, Alexandria via LeMat-Bulk).

Calculated values
For the raw total energy, the calculation gives -6.1494 eV/atom. Its space group is C2/c, No. 15.

Cell: 14.413 8.746 8.746 Å, 108.09 137.50 42.50°
Sites, in units of the cell vectors:
1 Sc 0.870 0.391 0.423
2 Sc 0.370 0.077 0.109
3 Sc 0.875 0.017 0.121
4 Sc 0.864 0.726 0.778
5 Sc 0.636 0.278 0.226
6 Sc 0.630 0.923 0.891
7 Sc 0.136 0.274 0.222
8 Sc 0.625 0.621 0.517
9 Sc 0.125 0.983 0.879
10 Sc 0.364 0.722 0.774
11 Sc 0.375 0.379 0.483
12 Sc 0.130 0.609 0.577
13 O 0.800 0.937 0.221
14 O 0.300 0.279 0.563
15 O 0.200 0.063 0.779
16 O 0.700 0.721 0.437
17 Cd 0.250 0.540 0.040
18 Cd 0.250 0.834 0.334
19 Cd 0.750 0.166 0.666
20 Cd 0.750 0.460 0.960



# ScCdO3

A relaxed structure of ScCdO3 (PBE-GGA, Alexandria via LeMat-Bulk).

Calculated values
For the raw total energy, the calculation gives -6.0908 eV/atom. Its space group is Pm-3m, No. 221.

Cell: 4.036 4.036 4.036 Å, 90.00 90.00 90.00°
Last column: magnetic moment on the atom in μB.
Sites, in units of the cell vectors:
1 Cd 0.500 0.500 0.500  -0.03
2 O 0.000 0.500 0.000  0.36
3 O 0.000 0.000 0.500  0.25
4 O 0.500 0.000 0.000  0.32
5 Sc 0.000 0.000 0.000  -0.04



# Sc3CdO

A relaxed structure of Sc3CdO (PBE-GGA, Alexandria via LeMat-Bulk).

Calculated values
For the raw total energy, the calculation gives -5.6214 eV/atom. Its space group is P4mm, No. 99.

Cell: 4.129 4.129 8.101 Å, 90.00 90.00 90.00°
Last column: magnetic moment on the atom in μB.
Sites, in units of the cell vectors:
1 Sc 0.500 0.000 0.457  0.03
2 Sc 0.000 0.500 0.457  0.07
3 Sc 0.000 0.000 0.779  0.47
4 O 0.500 0.500 0.418  0.01
5 Cd 0.000 0.000 0.152  -0.01



# Sc3CdO

A relaxed structure of Sc3CdO (PBE-GGA, Alexandria via LeMat-Bulk).

Calculated values
For the raw total energy, the calculation gives -6.0649 eV/atom. Its space group is R-3, No. 148.

Cell: 8.001 8.001 8.001 Å, 41.44 41.44 41.44°
Sites, in units of the cell vectors:
1 Cd 0.665 0.665 0.665
2 Cd 0.335 0.335 0.335
3 Sc 0.782 0.452 0.098
4 Sc 0.098 0.782 0.452
5 Sc 0.548 0.902 0.218
6 Sc 0.218 0.548 0.902
7 Sc 0.452 0.098 0.782
8 Sc 0.902 0.218 0.548
9 O 0.837 0.837 0.837
10 O 0.163 0.163 0.163



# ScCdO3

A relaxed structure of ScCdO3 (PBE-GGA, Alexandria via LeMat-Bulk).

Calculated values
For the raw total energy, the calculation gives -5.2892 eV/atom. Its space group is Pm-3m, No. 221.

Cell: 4.054 4.054 4.054 Å, 90.00 90.00 90.00°
Sites, in units of the cell vectors:
1 O 0.000 0.500 0.000
2 O 0.000 0.000 0.500
3 O 0.500 0.000 0.000
4 Sc 0.500 0.500 0.500
5 Cd 0.000 0.000 0.000



# Sc3CdO

A relaxed structure of Sc3CdO (PBE-GGA, Alexandria via LeMat-Bulk).

Calculated values
For the raw total energy, the calculation gives -6.1869 eV/atom. Its space group is P2_1/m, No. 11.

Cell: 7.141 8.864 7.138 Å, 90.00 27.32 90.00°
Sites, in units of the cell vectors:
1 Sc 0.366 0.437 0.858
2 Sc 0.634 0.563 0.142
3 Sc 0.634 0.937 0.142
4 Sc 0.959 0.750 0.466
5 Sc 0.366 0.063 0.858
6 Sc 0.041 0.250 0.534
7 Cd 0.275 0.750 0.787
8 Cd 0.725 0.250 0.213
9 O 0.546 0.750 0.054
10 O 0.454 0.250 0.946



# Sc3CdO

A relaxed structure of Sc3CdO (PBE-GGA, Alexandria via LeMat-Bulk).

Calculated values
For the raw total energy, the calculation gives -5.9953 eV/atom. Its space group is I-4m2, No. 119.

Cell: 6.193 6.193 7.018 Å, 63.82 63.82 90.00°
Sites, in units of the cell vectors:
1 O 0.250 0.750 0.500
2 O 0.000 0.000 0.000
3 Sc 0.628 0.879 0.241
4 Sc 0.375 0.375 0.250
5 Sc 0.121 0.869 0.759
6 Sc 0.625 0.625 0.750
7 Sc 0.131 0.879 0.241
8 Sc 0.121 0.372 0.759
9 Cd 0.621 0.121 0.758
10 Cd 0.879 0.379 0.242



# ScCd2O2

A relaxed structure of ScCd2O2 (PBE-GGA, Alexandria via LeMat-Bulk).

Calculated values
For the raw total energy, the calculation gives -4.2838 eV/atom. Its space group is I4/mmm, No. 139.

Cell: 4.160 4.160 5.503 Å, 67.79 67.79 90.00°
Last column: magnetic moment on the atom in μB.
Sites, in units of the cell vectors:
1 Sc 0.000 0.000 0.000  0.65
2 O 0.750 0.250 0.500  0.00
3 O 0.250 0.750 0.500  0.00
4 Cd 0.644 0.644 0.712  0.02
5 Cd 0.356 0.356 0.288  0.02



# Sc2CdO2

A relaxed structure of Sc2CdO2 (PBE-GGA, Alexandria via LeMat-Bulk).

Calculated values
For the raw total energy, the calculation gives -7.0191 eV/atom. Its space group is I4/mmm, No. 139.

Cell: 3.797 3.797 6.102 Å, 71.87 71.87 90.00°
Sites, in units of the cell vectors:
1 Sc 0.664 0.664 0.672
2 Sc 0.336 0.336 0.328
3 O 0.250 0.750 0.500
4 O 0.750 0.250 0.500
5 Cd 0.000 0.000 0.000